A plane-wave DFT calculation with PBE-GGA was carried out for a relaxed structure of Sb2OsSe.

Output
The magnetization comes out at 0.0 μB/f.u. Its crystal system is tetragonal. Its total energy is -40.739 eV/cell. As for the uncorrected formation energy: 0.65 eV/atom.

Cell lengths 4.535, 4.535, 7.903 Å; angles 90.00, 90.00, 90.00 degrees
Space group I4/mmm (No. 139)
Unique sites:
1 Sb 0.000 0.500 0.250 (multiplicity 4)
2 Os 0.000 0.000 0.000 (multiplicity 2)
3 Se 0.000 0.000 0.500 (multiplicity 2)



A plane-wave DFT calculation with PBE-GGA was carried out for a relaxed structure of SbOsSe.

Output
The magnetization comes out at 0.0 μB/f.u. Its crystal system is trigonal. Its total energy is -18.095 eV/cell. As for the uncorrected formation energy: 0.25 eV/atom.

Cell lengths 3.6283, 3.6283, 5.9437 Å; angles 90.00, 90.00, 120.00 degrees
Space group P3m1 (No. 156)
Unique sites:
1 Sb 0.0000 0.0000 0.0000 (multiplicity 1)
2 Os 0.3333 0.6667 0.6945 (multiplicity 1)
3 Se 0.6667 0.3333 0.4826 (multiplicity 1)



A plane-wave DFT calculation with PBE-GGA was carried out for a relaxed structure of SbOsSe2.

Output
The magnetization comes out at 0.0 μB/f.u. Its crystal system is tetragonal. Its total energy is -40.228 eV/cell. As for the uncorrected formation energy: 0.55 eV/atom.

Cell lengths 5.483, 5.483, 5.417 Å; angles 90.00, 90.00, 90.00 degrees
Space group I4/mmm (No. 139)
Unique sites:
1 Sb 0.000 0.000 0.000 (multiplicity 2)
2 Os 0.000 0.000 0.500 (multiplicity 2)
3 Se 0.000 0.500 0.000 (multiplicity 4)



A plane-wave DFT calculation with PBE-GGA was carried out for a relaxed structure of SbOsSe4.

Output
The magnetization comes out at 2.6 μB/f.u. Its crystal system is cubic. Its total energy is -86.258 eV/cell. As for the uncorrected formation energy: 1.29 eV/atom.

Cell lengths 7.989, 7.989, 7.989 Å; angles 90.00, 90.00, 90.00 degrees
Space group F-43m (No. 216)
Unique sites:
1 Sb 0.000 0.000 0.000 (multiplicity 4)
2 Os 0.250 0.250 0.250 (multiplicity 4)
3 Se 0.123 0.123 0.623 (multiplicity 16)



A plane-wave DFT calculation with PBE-GGA was carried out for a relaxed structure of Sb2OsSe.

Output
The magnetization comes out at 0.0 μB/f.u. Its crystal system is cubic. Its total energy is -79.725 eV/cell. As for the uncorrected formation energy: 0.76 eV/atom.

Cell lengths 6.892, 6.892, 6.892 Å; angles 90.00, 90.00, 90.00 degrees
Space group F-43m (No. 216)
Unique sites:
1 Sb 0.000 0.000 0.000 (multiplicity 4)
2 Sb 0.250 0.250 0.250 (multiplicity 4)
3 Os 0.000 0.000 0.500 (multiplicity 4)
4 Se 0.250 0.250 0.750 (multiplicity 4)



A plane-wave DFT calculation with PBE-GGA was carried out for a relaxed structure of Sb2OsSe.

Output
The magnetization comes out at 0.0 μB/f.u. Its crystal system is monoclinic. Its total energy is -43.873 eV/cell. As for the uncorrected formation energy: 0.26 eV/atom.

Cell lengths 6.159, 3.553, 9.153 Å; angles 90.00, 102.63, 90.00 degrees
Space group Cm (No. 8)
Unique sites:
1 Sb 0.000 0.000 0.000 (multiplicity 2)
2 Sb 0.248 0.000 0.738 (multiplicity 2)
3 Os 0.236 0.500 0.214 (multiplicity 2)
4 Se 0.451 0.000 0.361 (multiplicity 2)



A plane-wave DFT calculation with PBE-GGA was carried out for a relaxed structure of Sb2OsSe.

Output
The magnetization comes out at 0.0 μB/f.u. Its crystal system is orthorhombic. Its total energy is -44.851 eV/cell. As for the uncorrected formation energy: 0.13 eV/atom.

Cell lengths 4.004, 5.103, 9.293 Å; angles 90.00, 90.00, 90.00 degrees
Space group Amm2 (No. 38)
Unique sites:
1 Sb 0.000 0.000 0.000 (multiplicity 2)
2 Sb 0.500 0.000 0.302 (multiplicity 2)
3 Os 0.500 0.000 0.811 (multiplicity 2)
4 Se 0.000 0.000 0.635 (multiplicity 2)



A plane-wave DFT calculation with PBE-GGA was carried out for a relaxed structure of SbOsSe2.

Output
The magnetization comes out at 0.5 μB/f.u. Its crystal system is trigonal. Its total energy is -59.697 eV/cell. As for the uncorrected formation energy: 0.61 eV/atom.

Cell lengths 2.9481, 2.9481, 37.5374 Å; angles 90.00, 90.00, 120.00 degrees
Space group R-3m (No. 166, hexagonal axes)
Unique sites:
1 Sb 0.0000 0.0000 0.0000 (multiplicity 3)
2 Os 0.0000 0.0000 0.5000 (multiplicity 3)
3 Se 0.0000 0.0000 0.4368 (multiplicity 6)